No. 1
Compound: Ba4MgRh
Source: the Alexandria database
Functional: PBE
Structure: optimized geometry

a b c (Å): 7.0398 7.0398 7.0398
angles (deg): 60.00 60.00 60.00
Closest atoms and distances in Å follow each position.
Sites, in units of the cell vectors:
Ba1 0.8785 0.3738 0.3738  6 Ba 3.49-3.55
Ba2 0.3738 0.3738 0.8785  6 Ba 3.49-3.55
Ba3 0.3738 0.8785 0.3738  6 Ba 3.49-3.55
Ba4 0.3738 0.3738 0.3738  6 Ba 3.49-3.55
Mg1 0.7500 0.7500 0.7500  12 Ba 4.13, 4 Rh 4.31
Rh1 0.0000 0.0000 0.0000  12 Ba 4.12, 4 Mg 4.31

Computed properties:
symmetry	F-43m (216)
energy of formation from the pure elements	72	kJ/mol of atoms
E	-12.19	eV/cell


No. 2
Compound: Ti5NbGa8
Source: the Alexandria database
Functional: PBE
Structure: optimized geometry

a b c (Å): 6.7362 6.7362 6.7362
angles (deg): 110.36 107.70 110.36
Closest atoms and distances in Å follow each position.
Sites, in units of the cell vectors:
Ti1 0.0252 0.3051 0.0953  7 Ga 2.60-2.90, 2 Ti 2.82
Ti2 0.9047 0.9299 0.2098  7 Ga 2.60-2.90, 2 Ti 2.82
Ti3 0.7902 0.6949 0.7201  7 Ga 2.60-2.90, 2 Ti 2.82
Ti4 0.5000 0.0000 0.5000  8 Ga 2.65-2.73
Ti5 0.2799 0.0701 0.9748  7 Ga 2.60-2.90, 2 Ti 2.82
Nb1 0.2500 0.5000 0.7500  8 Ga 2.64-2.89
Ga1 0.1192 0.7030 0.0608  5 Ti 2.60-2.67, 1 Nb 2.64, 1 Ga 2.78
Ga2 0.9392 0.0584 0.6422  5 Ti 2.60-2.67, 1 Nb 2.64, 1 Ga 2.78
Ga3 0.7666 0.2784 0.3634  3 Ga 2.63-2.92, 5 Ti 2.73-2.93, 1 Nb 2.89
Ga4 0.6366 0.4032 0.9150  3 Ga 2.63-2.92, 5 Ti 2.73-2.93, 1 Nb 2.89
Ga5 0.5118 0.5968 0.2334  3 Ga 2.63-2.92, 5 Ti 2.73-2.93, 1 Nb 2.89
Ga6 0.5837 0.9416 0.8808  5 Ti 2.60-2.67, 1 Nb 2.64, 1 Ga 2.78
Ga7 0.3578 0.2970 0.4163  5 Ti 2.60-2.67, 1 Nb 2.64, 1 Ga 2.78
Ga8 0.0850 0.7216 0.4882  3 Ga 2.63-2.92, 5 Ti 2.73-2.93, 1 Nb 2.89

Computed properties:
symmetry	I-4 (82)
energy of formation from the pure elements	-23	kJ/mol of atoms
E	-77.13	eV/cell


No. 3
Compound: BeAlSb2
Source: the Alexandria database
Functional: PBE
Structure: optimized geometry

a b c (Å): 4.9632 4.9632 4.9632
angles (deg): 60.00 60.00 60.00
Closest atoms and distances in Å follow each position.
Sites, in units of the cell vectors:
Sb1 0.0000 0.0000 0.0000  4 Sb 3.04, 4 Be 3.04
Sb2 0.2500 0.2500 0.2500  4 Sb 3.04, 4 Al 3.04
Al1 0.5000 0.5000 0.5000  4 Be 3.04, 4 Sb 3.04
Be1 0.7500 0.7500 0.7500  4 Sb 3.04, 4 Al 3.04

Computed properties:
symmetry	F-43m (216)
E	-13.13	eV/cell


Question: Look up the E of the first one.
Answer: -12.19 eV/cell